A plane-wave DFT calculation with PBE was carried out for crystalline BeP3S at its relaxed geometry.

a = 4.237 Å, b = 4.237 Å, c = 4.237 Å
α = 90.00°, β = 90.00°, γ = 90.00°
Positions (direct):
1 P 0.000 0.500 0.000
2 P 0.000 0.000 0.500
3 P 0.500 0.000 0.000
4 S 0.500 0.500 0.500
5 Be 0.000 0.000 0.000

Calculated values
energy relative to the elements, uncorrected	0.8710	eV/atom
total magnetic moment	0.00	μB/f.u.
ρ	2.93	g/cm3
total energy	-19.728	eV for the cell shown
SG	Pm-3m
energy relative to the lowest polymorph listed for this composition	0.0	meV per atom

A plane-wave DFT calculation with PBE was carried out for crystalline Be2PS at its relaxed geometry.

a = 4.972 Å, b = 4.972 Å, c = 5.965 Å
α = 65.37°, β = 65.37°, γ = 90.00°
Positions (direct):
1 P 0.500 0.500 0.000
2 P 0.250 0.750 0.500
3 S 0.000 0.000 0.000
4 S 0.750 0.250 0.500
5 Be 0.637 0.125 0.250
6 Be 0.113 0.625 0.250
7 Be 0.375 0.363 0.750
8 Be 0.875 0.887 0.750

Calculated values
energy relative to the elements, uncorrected	-0.4086	eV/atom
total magnetic moment	0.00	μB/f.u.
ρ	2.26	g/cm3
total energy	-37.248	eV for the cell shown
SG	I-42d
energy relative to the lowest polymorph listed for this composition	0.0	meV per atom

A plane-wave DFT calculation with PBE was carried out for crystalline Be2PS at its relaxed geometry.

a = 4.084 Å, b = 4.084 Å, c = 4.084 Å
α = 60.00°, β = 60.00°, γ = 60.00°
Positions (direct):
1 P 0.000 0.000 0.000
2 S 0.500 0.500 0.500
3 Be 0.250 0.250 0.250
4 Be 0.750 0.750 0.750

Calculated values
energy relative to the elements, uncorrected	0.5730	eV/atom
total magnetic moment	0.00	μB/f.u.
ρ	2.79	g/cm3
total energy	-14.698	eV for the cell shown
SG	Fm-3m
energy relative to the lowest polymorph listed for this composition	981.5	meV per atom

A plane-wave DFT calculation with PBE was carried out for crystalline BeSbPS2 at its relaxed geometry.

a = 4.388 Å, b = 4.388 Å, c = 4.445 Å
α = 90.00°, β = 90.00°, γ = 90.00°
Positions (direct):
1 Sb 0.500 0.500 0.500
2 S 0.000 0.500 0.000
3 S 0.500 0.000 0.000
4 Be 0.000 0.000 0.000
5 P 0.000 0.000 0.500

Calculated values
energy relative to the elements, uncorrected	0.3232	eV/atom
total magnetic moment	0.00	μB/f.u.
ρ	4.38	g/cm3
total energy	-19.898	eV for the cell shown
SG	P4/mmm
energy relative to the lowest polymorph listed for this composition	0.0	meV per atom

A plane-wave DFT calculation with PBE was carried out for crystalline BeSbP2S at its relaxed geometry.

a = 4.489 Å, b = 5.194 Å, c = 4.489 Å
α = 90.00°, β = 90.00°, γ = 90.00°
Positions (direct):
1 Sb 0.000 0.500 0.000
2 S 0.000 0.000 0.000
3 Be 0.500 0.500 0.500
4 P 0.000 0.000 0.500
5 P 0.500 0.000 0.000

Calculated values
energy relative to the elements, uncorrected	1.1989	eV/atom
total magnetic moment	0.00	μB/f.u.
ρ	3.57	g/cm3
total energy	-16.801	eV for the cell shown
SG	P4/mmm
energy relative to the lowest polymorph listed for this composition	705.6	meV per atom

A plane-wave DFT calculation with PBE was carried out for crystalline BeSbPS2 at its relaxed geometry.

a = 4.931 Å, b = 4.931 Å, c = 5.127 Å
α = 90.00°, β = 90.00°, γ = 90.00°
Last column: magnetic moment on the atom in μB.
Positions (direct):
1 Sb 0.000 0.000 0.000  0.00
2 S 0.000 0.500 0.000  0.02
3 S 0.500 0.000 0.000  0.02
4 Be 0.500 0.500 0.500  -0.02
5 P 0.000 0.000 0.500  0.11

Calculated values
energy relative to the elements, uncorrected	1.1786	eV/atom
total magnetic moment	0.25	μB/f.u.
ρ	3.01	g/cm3
total energy	-15.620	eV for the cell shown
SG	P4/mmm
energy relative to the lowest polymorph listed for this composition	855.5	meV per atom

A plane-wave DFT calculation with PBE was carried out for crystalline BeSbP2S at its relaxed geometry.

a = 5.075 Å, b = 5.075 Å, c = 4.912 Å
α = 90.00°, β = 90.00°, γ = 90.00°
Last column: magnetic moment on the atom in μB.
Positions (direct):
1 Sb 0.000 0.000 0.000  0.00
2 S 0.000 0.000 0.500  0.08
3 Be 0.500 0.500 0.500  -0.02
4 P 0.000 0.500 0.000  0.20
5 P 0.500 0.000 0.000  0.20

Calculated values
energy relative to the elements, uncorrected	1.4327	eV/atom
total magnetic moment	0.95	μB/f.u.
ρ	2.95	g/cm3
total energy	-15.632	eV for the cell shown
SG	P4/mmm
energy relative to the lowest polymorph listed for this composition	939.4	meV per atom

A plane-wave DFT calculation with PBE was carried out for crystalline BeSbP2S at its relaxed geometry.

a = 4.349 Å, b = 4.349 Å, c = 4.517 Å
α = 90.00°, β = 90.00°, γ = 90.00°
Positions (direct):
1 Sb 0.500 0.500 0.500
2 S 0.000 0.000 0.500
3 Be 0.000 0.000 0.000
4 P 0.000 0.500 0.000
5 P 0.500 0.000 0.000

Calculated values
energy relative to the elements, uncorrected	0.4933	eV/atom
total magnetic moment	0.00	μB/f.u.
ρ	4.37	g/cm3
total energy	-20.329	eV for the cell shown
SG	P4/mmm
energy relative to the lowest polymorph listed for this composition	0.0	meV per atom